PmMg2Cu3 | PBE | optimized geometry

The structure in CIF format:
```
data_PmMg2Cu3
_chemical_formula_sum 'Pm4 Mg8 Cu12'
_cell_length_a 9.0593
_cell_length_b 9.3081
_cell_length_c 5.4709
_cell_angle_alpha 90.00
_cell_angle_beta 90.00
_cell_angle_gamma 90.00
_space_group_name_H-M_alt 'C m c m'
_space_group_IT_number 63
_space_group_name_Hall '-C 2c 2'
loop_
_atom_site_label
_atom_site_type_symbol
_atom_site_fract_x
_atom_site_fract_y
_atom_site_fract_z
Pm1 Pm 0.0000 0.2487 0.2500
Mg1 Mg 0.2502 0.0000 0.0000
Cu1 Cu 0.0000 0.4411 0.7500
Cu2 Cu 0.1734 0.2412 0.7500
```

Calculated values
DOS(E_F)	3.50	states/eV/f.u.
final energy	-3.437	eV/atom
energy of formation	-0.066	eV per atom